Entry 1:
VASP calculation (GGA-PBE) on a relaxed structure of LiP2OF.

Summary:
DOS at the Fermi energy in states/eV/f.u.: 2.233
Excess energy over the best structure of this formula in the dataset in meV per atom: 0.0
Magnetization in μB/cell: 0.00
VASP energy in eV per atom: -3.5329

a b c (Å): 4.265 4.265 3.499
angles (deg): 90.00 90.00 90.00
Space group P4/mmm (No. 123)
Unique sites:
Li1 0.000 0.000 0.000 [1 per cell]
P1 0.000 0.500 0.000 [2 per cell]
O1 0.000 0.000 0.500 [1 per cell]
F1 0.500 0.500 0.500 [1 per cell]

Entry 2:
VASP calculation (GGA-PBE) on a relaxed structure of OsPb3W.

Summary:
DOS at the Fermi energy in states/eV/f.u.: 3.311
Formation energy in eV/f.u.: 8.0
Magnetization in μB/cell: 4.07
VASP energy in eV per atom: -5.4713

a b c (Å): 5.262 5.262 5.262
angles (deg): 90.00 90.00 90.00
Space group Pm-3m (No. 221)
Unique sites:
Os1 0.000 0.000 0.000 [1 per cell]
Pb1 0.000 0.000 0.500 [3 per cell]
W1 0.500 0.500 0.500 [1 per cell]

Entry 3:
VASP calculation (GGA-PBE) on a relaxed structure of Pr7Tm4Sc.

Summary:
DOS at the Fermi energy in states/eV/f.u.: 17.842
Formation energy in eV/f.u.: 0.9
Magnetization in μB/cell: 0.00
VASP energy in eV per atom: -4.7289

a b c (Å): 6.110 6.875 9.965
angles (deg): 106.39 91.66 91.74
Space group P1 (No. 1)
Unique sites:
Pr1 0.000 0.000 0.000 [1 per cell]
Pr2 0.013 0.823 0.315 [1 per cell]
Pr3 0.155 0.493 0.990 [1 per cell]
Pr4 0.177 0.338 0.339 [1 per cell]
Pr5 0.514 0.030 0.851 [1 per cell]
Pr6 0.561 0.772 0.501 [1 per cell]
Pr7 0.622 0.508 0.812 [1 per cell]
Tm1 0.077 0.659 0.664 [1 per cell]
Tm2 0.115 0.153 0.648 [1 per cell]
Tm3 0.513 0.904 0.168 [1 per cell]
Tm4 0.653 0.402 0.165 [1 per cell]
Sc1 0.676 0.254 0.473 [1 per cell]

Entry 4:
VASP calculation (GGA-PBE) on a relaxed structure of TbPmTi.

Summary:
DOS at the Fermi energy in states/eV/f.u.: 4.192
Formation energy in eV/f.u.: 0.6
Magnetization in μB/cell: 1.98
VASP energy in eV per atom: -5.5509

a b c (Å): 5.779 3.546 16.105
angles (deg): 90.00 96.58 90.00
Space group C2/m (No. 12)
Unique sites:
Tb1 0.101 0.000 0.286 [4 per cell]
Pm1 0.203 0.500 0.093 [4 per cell]
Ti1 0.211 0.000 0.560 [4 per cell]

Entry 5:
VASP calculation (GGA-PBE) on a relaxed structure of Ba2InBiO.

Summary:
DOS at the Fermi energy in states/eV/f.u.: 0.123
Excess energy over the best structure of this formula in the dataset in meV per atom: 0.0
Magnetization in μB/cell: 0.00
VASP energy in eV per atom: -4.4143

a b c (Å): 7.289 4.689 10.533
angles (deg): 90.00 105.84 90.00
Space group P2_1/m (No. 11)
Unique sites:
Ba1 0.177 0.250 0.394 [2 per cell]
Ba2 0.298 0.750 0.092 [2 per cell]
In1 0.352 0.750 0.667 [2 per cell]
Bi1 0.178 0.250 0.795 [2 per cell]
O1 0.347 0.250 0.217 [2 per cell]

Entry 6:
VASP calculation (GGA-PBE) on a relaxed structure of HPd6Au3.

Summary:
DOS at the Fermi energy in states/eV/f.u.: 10.219
Magnetization in μB/cell: 0.00
VASP energy in eV per atom: -4.4882

a b c (Å): 8.5160 8.5160 14.2220
angles (deg): 90.00 90.00 120.00
Space group R-3m (No. 166, hexagonal axes)
Unique sites:
H1 0.0000 0.0000 0.0000 [3 per cell]
H2 0.0000 0.0000 0.5000 [3 per cell]
Pd1 0.1112 0.2224 0.4174 [18 per cell]
Pd2 0.1113 0.2227 0.0837 [18 per cell]
Au1 0.1090 0.5545 0.4153 [18 per cell]

Entry 7:
VASP calculation (GGA-PBE) on a relaxed structure of InAsPSe2.

Summary:
DOS at the Fermi energy in states/eV/f.u.: 5.954
Excess energy over the best structure of this formula in the dataset in meV per atom: 461.8
Magnetization in μB/cell: 0.00
VASP energy in eV per atom: -3.1735

a b c (Å): 5.042 5.042 5.273
angles (deg): 90.00 90.00 90.00
Space group P4/mmm (No. 123)
Unique sites:
In1 0.000 0.000 0.000 [1 per cell]
As1 0.000 0.000 0.500 [1 per cell]
P1 0.500 0.500 0.000 [1 per cell]
Se1 0.000 0.500 0.500 [2 per cell]

Entry 8:
VASP calculation (GGA-PBE) on a relaxed structure of CdCoPt2.

Summary:
DOS at the Fermi energy in states/eV/f.u.: 3.204
Formation energy in eV/f.u.: 0.2
Magnetization in μB/cell: 8.98
VASP energy in eV per atom: -4.9665

a b c (Å): 6.322 6.322 6.322
angles (deg): 90.00 90.00 90.00
Space group F-43m (No. 216)
Unique sites:
Cd1 0.000 0.000 0.000 [4 per cell]
Co1 0.250 0.250 0.250 [4 per cell]
Pt1 0.000 0.000 0.500 [4 per cell]
Pt2 0.250 0.250 0.750 [4 per cell]

Entry 9:
VASP calculation (GGA-PBE) on a relaxed structure of NbHgOs2Se.

Summary:
DOS at the Fermi energy in states/eV/f.u.: 6.914
Magnetization in μB/cell: 2.35
VASP energy in eV per atom: -5.2803

a b c (Å): 4.819 4.819 5.322
angles (deg): 90.00 90.00 90.00
Space group P4/mmm (No. 123)
Unique sites:
Nb1 0.000 0.000 0.000 [1 per cell]
Hg1 0.000 0.000 0.500 [1 per cell]
Os1 0.000 0.500 0.000 [2 per cell]
Se1 0.500 0.500 0.500 [1 per cell]

Entry 10:
VASP calculation (GGA-PBE) on a relaxed structure of Th3Al2Si4.

Summary:
DOS at the Fermi energy in states/eV/f.u.: 7.346
Magnetization in μB/cell: 0.00
VASP energy in eV per atom: -6.2814

a b c (Å): 11.102 4.196 8.395
angles (deg): 90.00 101.07 90.00
Space group C2/m (No. 12)
Unique sites:
Th1 0.000 0.000 0.000 [2 per cell]
Th2 0.164 0.500 0.670 [4 per cell]
Al1 0.113 0.500 0.277 [4 per cell]
Si1 0.059 0.000 0.394 [4 per cell]
Si2 0.223 0.500 0.053 [4 per cell]

Entry 11:
VASP calculation (GGA-PBE) on a relaxed structure of KBaW2.

Summary:
DOS at the Fermi energy in states/eV/f.u.: 6.177
Excess energy over the best structure of this formula in the dataset in meV per atom: 877.7
Formation energy in eV/f.u.: 7.1
Magnetization in μB/cell: 0.00
VASP energy in eV per atom: -5.4589

a b c (Å): 2.9846 2.9846 37.4692
angles (deg): 90.00 90.00 120.00
Space group R-3m (No. 166, hexagonal axes)
Unique sites:
K1 0.0000 0.0000 0.0000 [3 per cell]
Ba1 0.0000 0.0000 0.5000 [3 per cell]
W1 0.0000 0.0000 0.2498 [6 per cell]

Entry 12:
VASP calculation (GGA-PBE) on a relaxed structure of RbSrTe2.

Summary:
DOS at the Fermi energy in states/eV/f.u.: 2.259
Magnetization in μB/cell: 4.00
VASP energy in eV per atom: -3.1154

a b c (Å): 7.170 7.170 18.429
angles (deg): 90.00 90.00 90.00
Space group I-42d (No. 122)
Unique sites:
Rb1 0.000 0.000 0.000 [4 per cell]
Sr1 0.000 0.000 0.500 [4 per cell]
Te1 0.178 0.250 0.625 [8 per cell]